Ba2CuBiSe after structural relaxation, computed with PBE.

Total magnetic moment   0.0 Bohr magnetons per cell
ΔE_f (raw)   -0.5190 eV/atom
Crystal system   tetragonal
E_tot   -3.580 eV/atom
Volume   43.00 Å³/atom

Lattice parameters (Å, degrees): 6.650 6.650 4.862 90.00 90.00 90.00
Space group P4/mmm (No. 123)
Symmetry-distinct sites (fractional):
Ba 0.000 0.500 0.000 x2
Cu 0.000 0.000 0.500 x1
Bi 0.000 0.000 0.000 x1
Se 0.500 0.500 0.500 x1

---

DyTmAl2 after structural relaxation, computed with PBE.

Total magnetic moment   0.0 Bohr magnetons per cell
Crystal system   cubic
Energy of formation from the pure elements   -391 meV per atom
E_tot   -4.531 eV/atom
Volume   22.92 Å³/atom

Lattice parameters (Å, degrees): 7.157 7.157 7.157 90.00 90.00 90.00
Space group Fm-3m (No. 225)
Symmetry-distinct sites (fractional):
Dy 0.000 0.000 0.000 x4
Tm 0.000 0.000 0.500 x4
Al 0.250 0.250 0.250 x8

---

La2ZnIn after structural relaxation, computed with PBE.

Total magnetic moment   0.0 Bohr magnetons per cell
Crystal system   orthorhombic
Energy of formation from the pure elements   270 meV per atom
E_tot   -3.197 eV/atom
Volume   31.16 Å³/atom

Lattice parameters (Å, degrees): 3.417 5.606 13.012 90.00 90.00 90.00
Space group Immm (No. 71)
Symmetry-distinct sites (fractional):
La 0.000 0.000 0.233 x4
Zn 0.000 0.000 0.000 x2
In 0.000 0.000 0.500 x2

---

Hf4AlGe after structural relaxation, computed with PBE.

Total magnetic moment   0.0 Bohr magnetons per cell
Crystal system   tetragonal
Energy of formation from the pure elements   -464 meV per atom
E_tot   -8.493 eV/atom
Volume   19.93 Å³/atom

Lattice parameters (Å, degrees): 6.721 6.721 5.295 90.00 90.00 90.00
Space group P4/mcc (No. 124)
Symmetry-distinct sites (fractional):
Hf 0.152 0.345 0.000 x8
Al 0.500 0.500 0.250 x2
Ge 0.000 0.000 0.250 x2

---

CoTcNi2Sb after structural relaxation, computed with PBE.

Total magnetic moment   4.4 Bohr magnetons per cell
ΔE_f (raw)   1.5419 eV/atom
Crystal system   tetragonal
E_tot   -5.089 eV/atom
Volume   20.38 Å³/atom

Lattice parameters (Å, degrees): 4.539 4.539 4.945 90.00 90.00 90.00
Space group P4/mmm (No. 123)
Symmetry-distinct sites (fractional):
Co 0.000 0.000 0.000 x1
Tc 0.500 0.500 0.000 x1
Ni 0.000 0.500 0.500 x2
Sb 0.500 0.500 0.500 x1

---

Nb2InGeW after structural relaxation, computed with PBE.

Total magnetic moment   0.0 Bohr magnetons per cell
Crystal system   tetragonal
Energy of formation from the pure elements   1058 meV per atom
E_tot   -7.032 eV/atom
Volume   23.71 Å³/atom

Lattice parameters (Å, degrees): 4.960 4.960 4.817 90.00 90.00 90.00
Space group P4/mmm (No. 123)
Symmetry-distinct sites (fractional):
Nb 0.000 0.500 0.000 x2
In 0.000 0.000 0.500 x1
Ge 0.500 0.500 0.500 x1
W 0.500 0.500 0.000 x1

---

KRhS2N after structural relaxation, computed with PBE.

Total magnetic moment   0.4 Bohr magnetons per cell
ΔE_f (raw)   0.1680 eV/atom
Crystal system   tetragonal
E_tot   -4.838 eV/atom
Volume   19.34 Å³/atom

Lattice parameters (Å, degrees): 5.127 5.127 3.679 90.00 90.00 90.00
Space group P4/mmm (No. 123)
Symmetry-distinct sites (fractional):
K 0.000 0.000 0.000 x1
Rh 0.500 0.500 0.500 x1
S 0.000 0.500 0.500 x2
N 0.500 0.500 0.000 x1

---

Ba3AlV after structural relaxation, computed with PBE.

Total magnetic moment   2.7 Bohr magnetons per cell
Crystal system   cubic
Energy of formation from the pure elements   767 meV per atom
E_tot   -2.959 eV/atom
Volume   45.95 Å³/atom

Lattice parameters (Å, degrees): 6.125 6.125 6.125 90.00 90.00 90.00
Space group Pm-3m (No. 221)
Symmetry-distinct sites (fractional):
Ba 0.000 0.000 0.500 x3
Al 0.500 0.500 0.500 x1
V 0.000 0.000 0.000 x1

---

Tb3Tl3TcO8 after structural relaxation, computed with PBE.

Total magnetic moment   9.0 Bohr magnetons per cell
ΔE_f (raw)   -2.1260 eV/atom
Crystal system   trigonal
E_tot   -6.861 eV/atom
Volume   17.72 Å³/atom

Lattice parameters (Å, degrees): 6.8452 6.8452 19.6468 90.00 90.00 120.00
Space group R-3m (No. 166, hexagonal axes)
Symmetry-distinct sites (fractional):
Tb 0.0000 0.5000 0.0000 x9
Tl 0.0000 0.5000 0.5000 x9
Tc 0.0000 0.0000 0.0000 x3
O 0.0000 0.0000 0.2768 x6
O 0.0281 0.5140 0.7213 x18

---

Te2Pd3Se after structural relaxation, computed with PBE.

Total magnetic moment   0.0 Bohr magnetons per cell
ΔE_f (raw)   -0.2130 eV/atom
Crystal system   orthorhombic
E_tot   -4.437 eV/atom
Volume   23.42 Å³/atom

Lattice parameters (Å, degrees): 4.010 12.519 5.599 90.00 90.00 90.00
Space group Imm2 (No. 44)
Symmetry-distinct sites (fractional):
Te 0.000 0.202 0.000 x4
Pd 0.000 0.000 0.886 x2
Pd 0.000 0.381 0.747 x4
Se 0.000 0.500 0.099 x2

---

Li2YCd2 after structural relaxation, computed with PBE.

Total magnetic moment   0.0 Bohr magnetons per cell
Crystal system   monoclinic
Energy of formation from the pure elements   -238 meV per atom
E_tot   -2.663 eV/atom
Volume   20.47 Å³/atom

Lattice parameters (Å, degrees): 8.513 4.926 5.638 90.00 120.01 90.00
Space group C2/m (No. 12)
Symmetry-distinct sites (fractional):
Li 0.084 0.000 0.251 x4
Y 0.000 0.500 0.500 x2
Cd 0.218 0.500 0.153 x4

---

CoAsSe4 after structural relaxation, computed with PBE.

Total magnetic moment   8.1 Bohr magnetons per cell
ΔE_f (raw)   1.0137 eV/atom
Crystal system   cubic
E_tot   -3.269 eV/atom
Volume   20.94 Å³/atom

Lattice parameters (Å, degrees): 7.950 7.950 7.950 90.00 90.00 90.00
Space group F-43m (No. 216)
Symmetry-distinct sites (fractional):
Co 0.000 0.000 0.000 x4
As 0.250 0.250 0.250 x4
Se 0.126 0.126 0.626 x16